Entry 1:
A plane-wave DFT calculation with GGA-PBE was carried out for an optimized crystal structure of Ir7Pb2.

The magnetization comes out at 0.000 μB per atom. The calculation puts the total DFT energy (no corrections) at -7.291 eV per atom. The calculation puts the calculated density at 12740 kg/m³.

The space group is P-3m1 (No. 164) and the conventional cell measures 2.8723, 2.8723 and 32.1068 Å, with angles of 90.00, 90.00 and 120.00 degrees. The asymmetric unit holds Ir at (0.0000, 0.0000, 0.0000), Ir at (0.0000, 0.0000, 0.2025), Ir at (0.3333, 0.6667, 0.1357), Ir at (0.3333, 0.6667, 0.9320) and Pb at (0.3333, 0.6667, 0.7190).

=====

Entry 2:
A plane-wave DFT calculation with GGA-PBE was carried out for an optimized crystal structure of Ir124Pb.

The magnetization comes out at 0.000 μB per atom. The calculation puts the total DFT energy (no corrections) at -8.802 eV per atom. The calculation puts the calculated density at 21866 kg/m³.

The space group is Fm-3m (No. 225) and the conventional cell measures 19.4016, 19.4016 and 19.4016 Å, with angles of 90.00, 90.00 and 90.00 degrees. The asymmetric unit holds Ir at (0.0000, 0.0000, 0.0999), Ir at (0.0000, 0.0000, 0.3001), Ir at (0.0000, 0.0999, 0.1999), Ir at (0.0000, 0.1027, 0.3973), Ir at (0.0000, 0.2010, 0.2990), Ir at (0.1000, 0.1000, 0.1000), Ir at (0.1001, 0.1001, 0.2997), Ir at (0.1002, 0.1999, 0.1999), Ir at (0.2001, 0.2001, 0.2999) and Pb at (0.0000, 0.0000, 0.5000).

=====

Entry 3:
A plane-wave DFT calculation with GGA-PBE was carried out for an optimized crystal structure of Ir10Pb.

The magnetization comes out at 0.000 μB per atom. The calculation puts the total DFT energy (no corrections) at -8.297 eV per atom. The calculation puts the calculated density at 12944 kg/m³.

The space group is C2/m (No. 12) and the conventional cell measures 8.6214, 3.8741 and 32.7157 Å, with angles of 90.00, 90.01 and 90.00 degrees. The asymmetric unit holds Ir at (0.0472, 0.0000, 0.2758), Ir at (0.0487, 0.5000, 0.6719), Ir at (0.0501, 0.0000, 0.5398), Ir at (0.0505, 0.5000, 0.4073), Ir at (0.1484, 0.0000, 0.6194), Ir at (0.1500, 0.5000, 0.4869), Ir at (0.1506, 0.5000, 0.7498), Ir at (0.1523, 0.0000, 0.3543), Ir at (0.2485, 0.0000, 0.6994), Ir at (0.2497, 0.0000, 0.4336) and Pb at (0.1477, 0.5000, 0.2091).